No. 1
TmNiHgPd | PBE | relaxed

Output
E = -70.358 eV per cell
Mass density = 12.3 g cm⁻³
Energy of formation from the pure elements = -0.461 eV/atom
Total magnetic moment = 0.000 μB per atom

Unit cell a=6.6107 b=6.6107 c=6.6107 alpha=90.00 beta=90.00 gamma=90.00
Space group F-43m (No. 216)
One atom of each set of equivalent atoms:
Tm 0.0000 0.0000 0.0000 x4
Ni 0.2500 0.2500 0.7500 x4
Hg 0.0000 0.0000 0.5000 x4
Pd 0.2500 0.2500 0.2500 x4

No. 2
YNiHgPd | PBE | relaxed

Output
E = -77.812 eV per cell
Mass density = 10.1 g cm⁻³
Energy of formation from the pure elements = -0.428 eV/atom
Total magnetic moment = 0.000 μB per atom

Unit cell a=6.6774 b=6.6774 c=6.6774 alpha=90.00 beta=90.00 gamma=90.00
Space group F-43m (No. 216)
One atom of each set of equivalent atoms:
Y 0.0000 0.0000 0.0000 x4
Ni 0.2500 0.2500 0.2500 x4
Hg 0.0000 0.0000 0.5000 x4
Pd 0.2500 0.2500 0.7500 x4

No. 3
ZnNiHgPd | PBE | relaxed

Output
E = -51.571 eV per cell
Mass density = 11.6 g cm⁻³
Energy of formation from the pure elements = -0.086 eV/atom
Total magnetic moment = 0.000 μB per atom

Unit cell a=6.2755 b=6.2755 c=6.2755 alpha=90.00 beta=90.00 gamma=90.00
Space group F-43m (No. 216)
One atom of each set of equivalent atoms:
Zn 0.0000 0.0000 0.0000 x4
Ni 0.2500 0.2500 0.2500 x4
Hg 0.0000 0.0000 0.5000 x4
Pd 0.2500 0.2500 0.7500 x4

No. 4
ZrNiHgPd2 | PBE | relaxed

Output
E = -19.339 eV per cell
Mass density = 7.2 g cm⁻³
Energy of formation from the pure elements = 1.136 eV/atom
Total magnetic moment = 0.124 μB per atom

Unit cell a=4.8851 b=4.8851 c=5.4310 alpha=90.00 beta=90.00 gamma=90.00
Space group P4/mmm (No. 123)
One atom of each set of equivalent atoms:
Zr 0.0000 0.0000 0.0000 x1
Ni 0.5000 0.5000 0.5000 x1
Hg 0.0000 0.0000 0.5000 x1
Pd 0.0000 0.5000 0.0000 x2

No. 5
Pm6NiHg | PBE | relaxed

Output
E = -69.383 eV per cell
Mass density = 7.3 g cm⁻³
Energy of formation from the pure elements = -0.013 eV/atom
Total magnetic moment = 0.000 μB per atom

Unit cell a=7.2961 b=11.3321 c=6.6731 alpha=90.00 beta=110.92 gamma=90.00
Space group C2/m (No. 12)
One atom of each set of equivalent atoms:
Pm 0.2003 0.1917 0.2414 x8
Pm 0.2404 0.0000 0.7859 x4
Ni 0.0000 0.0000 0.0000 x2
Hg 0.0000 0.5000 0.5000 x2

No. 6
PmNiHg5 | PBE | relaxed

Output
E = -13.237 eV per cell
Mass density = 12.1 g cm⁻³
Energy of formation from the pure elements = -0.171 eV/atom
Total magnetic moment = 0.000 μB per atom

Unit cell a=4.7289 b=4.7289 c=7.3828 alpha=90.00 beta=90.00 gamma=90.00
Space group P4/mmm (No. 123)
One atom of each set of equivalent atoms:
Pm 0.0000 0.0000 0.0000 x1
Ni 0.0000 0.0000 0.5000 x1
Hg 0.0000 0.5000 0.3027 x4
Hg 0.5000 0.5000 0.0000 x1

No. 7
Pm2NiHg | PBE | relaxed

Output
E = -50.220 eV per cell
Mass density = 8.3 g cm⁻³
Energy of formation from the pure elements = -0.289 eV/atom
Total magnetic moment = 0.000 μB per atom
Offset from the most stable computed form = 0.30 eV/f.u.

Unit cell a=4.0649 b=4.0649 c=22.9433 alpha=90.00 beta=90.00 gamma=120.00
Space group R3m (No. 160, hexagonal axes)
One atom of each set of equivalent atoms:
Pm 0.0000 0.0000 0.0000 x3
Pm 0.0000 0.0000 0.2006 x3
Ni 0.0000 0.0000 0.6018 x3
Hg 0.0000 0.0000 0.7667 x3

No. 8
Pm6Ni2Hg | PBE | relaxed

Output
E = -171.237 eV per cell
Mass density = 8.0 g cm⁻³
Energy of formation from the pure elements = -0.271 eV/atom
Total magnetic moment = 0.000 μB per atom

Unit cell a=9.4502 b=10.0481 c=10.3351 alpha=90.00 beta=90.00 gamma=90.00
Space group Immm (No. 71)
One atom of each set of equivalent atoms:
Pm 0.0000 0.1997 0.2304 x8
Pm 0.1920 0.5000 0.1751 x8
Pm 0.2066 0.3190 0.5000 x8
Ni 0.0000 0.3590 0.0000 x4
Ni 0.0000 0.5000 0.3785 x4
Hg 0.0000 0.0000 0.0000 x2
Hg 0.0000 0.0000 0.5000 x2

No. 9
Pm7Ni2Hg2 | PBE | relaxed

Output
E = -94.986 eV per cell
Mass density = 7.9 g cm⁻³
Energy of formation from the pure elements = -0.188 eV/atom
Total magnetic moment = 0.000 μB per atom

Unit cell a=7.9835 b=11.3521 c=7.1498 alpha=90.00 beta=90.00 gamma=90.00
Space group Cmmm (No. 65)
One atom of each set of equivalent atoms:
Pm 0.0000 0.0000 0.0000 x2
Pm 0.0000 0.5000 0.2396 x4
Pm 0.2500 0.2500 0.2487 x8
Ni 0.0000 0.2976 0.0000 x4
Hg 0.1792 0.0000 0.5000 x4

No. 10
Pm11Ni4Hg9 | PBE | relaxed

Output
E = -178.236 eV per cell
Mass density = 10.1 g cm⁻³
Energy of formation from the pure elements = -0.459 eV/atom
Total magnetic moment = 0.000 μB per atom

Unit cell a=14.6671 b=22.0386 c=3.7026 alpha=90.00 beta=90.00 gamma=90.00
Space group Cmmm (No. 65)
One atom of each set of equivalent atoms:
Pm 0.0000 0.0000 0.0000 x2
Pm 0.0000 0.1666 0.0000 x4
Pm 0.0000 0.3743 0.0000 x4
Pm 0.1917 0.5000 0.0000 x4
Pm 0.2478 0.1680 0.0000 x8
Ni 0.1497 0.4002 0.5000 x8
Hg 0.0000 0.5000 0.5000 x2
Hg 0.1055 0.2648 0.5000 x8
Hg 0.1461 0.0720 0.5000 x8

No. 11
Pm2NiHg | PBE | relaxed

Output
E = -67.003 eV per cell
Mass density = 9.3 g cm⁻³
Energy of formation from the pure elements = -0.292 eV/atom
Total magnetic moment = 0.000 μB per atom
Offset from the most stable computed form = 0.29 eV/f.u.

Unit cell a=7.3300 b=7.3300 c=7.3300 alpha=90.00 beta=90.00 gamma=90.00
Space group Fm-3m (No. 225)
One atom of each set of equivalent atoms:
Pm 0.2500 0.2500 0.2500 x8
Ni 0.0000 0.0000 0.0000 x4
Hg 0.0000 0.0000 0.5000 x4

No. 12
Pm2NiHg | PBE | relaxed

Output
E = -43.216 eV per cell
Mass density = 8.6 g cm⁻³
Energy of formation from the pure elements = 0.295 eV/atom
Total magnetic moment = 0.000 μB per atom
Offset from the most stable computed form = 2.64 eV/f.u.

Unit cell a=3.4335 b=3.4335 c=31.0522 alpha=90.00 beta=90.00 gamma=120.00
Space group R-3m (No. 166, hexagonal axes)
One atom of each set of equivalent atoms:
Pm 0.0000 0.0000 0.0824 x6
Ni 0.0000 0.0000 0.0000 x3
Hg 0.0000 0.0000 0.5000 x3

No. 13
Pm5NiHg | PBE | relaxed

Output
E = -122.620 eV per cell
Mass density = 7.9 g cm⁻³
Energy of formation from the pure elements = -0.117 eV/atom
Total magnetic moment = 0.000 μB per atom

Unit cell a=9.8704 b=7.4143 c=11.7335 alpha=90.00 beta=106.42 gamma=90.00
Space group C2/c (No. 15)
One atom of each set of equivalent atoms:
Pm 0.0000 0.0159 0.2500 x4
Pm 0.1143 0.3279 0.5549 x8
Pm 0.2435 0.1807 0.1331 x8
Ni 0.0000 0.0000 0.0000 x4
Hg 0.0000 0.4310 0.2500 x4

No. 14
Pm3NiHg | PBE | relaxed

Output
E = -86.144 eV per cell
Mass density = 8.3 g cm⁻³
Energy of formation from the pure elements = -0.240 eV/atom
Total magnetic moment = 0.000 μB per atom
Offset from the most stable computed form = 0.30 eV/f.u.

Unit cell a=10.1540 b=6.8700 c=8.7024 alpha=90.00 beta=113.18 gamma=90.00
Space group P2_1/c (No. 14)
One atom of each set of equivalent atoms:
Pm 0.0884 0.0681 0.2188 x4
Pm 0.3474 0.1642 0.6239 x4
Pm 0.3487 0.6748 0.4825 x4
Ni 0.4075 0.0361 0.3451 x4
Hg 0.1078 0.6498 0.0886 x4

No. 15
Pm4NiHg2 | PBE | relaxed

Output
E = -54.419 eV per cell
Mass density = 8.4 g cm⁻³
Energy of formation from the pure elements = -0.260 eV/atom
Total magnetic moment = 0.000 μB per atom
Offset from the most stable computed form = 0.00 eV/f.u.

Unit cell a=16.8786 b=3.9426 c=6.7026 alpha=90.00 beta=112.40 gamma=90.00
Space group C2/m (No. 12)
One atom of each set of equivalent atoms:
Pm 0.0927 0.0000 0.4361 x4
Pm 0.1082 0.5000 0.9450 x4
Ni 0.0000 0.0000 0.0000 x2
Hg 0.2461 0.5000 0.7104 x4

No. 16
Pm5NiHg4 | PBE | relaxed

Output
E = -34.944 eV per cell
Mass density = 10.0 g cm⁻³
Energy of formation from the pure elements = -0.420 eV/atom
Total magnetic moment = 0.079 μB per atom

Unit cell a=3.7123 b=3.7123 c=19.1618 alpha=90.00 beta=90.00 gamma=90.00
Space group P4/mmm (No. 123)
One atom of each set of equivalent atoms:
Pm 0.0000 0.0000 0.0000 x1
Pm 0.0000 0.0000 0.2073 x2
Pm 0.0000 0.0000 0.4153 x2
Ni 0.5000 0.5000 0.5000 x1
Hg 0.5000 0.5000 0.1036 x2
Hg 0.5000 0.5000 0.3089 x2

No. 17
Pm8NiHg2 | PBE | relaxed

Output
E = -92.688 eV per cell
Mass density = 8.0 g cm⁻³
Energy of formation from the pure elements = -0.178 eV/atom
Total magnetic moment = 0.000 μB per atom
Offset from the most stable computed form = 0.16 eV/f.u.

Unit cell a=7.6930 b=16.3243 c=6.3724 alpha=90.00 beta=123.06 gamma=90.00
Space group Cm (No. 8)
One atom of each set of equivalent atoms:
Pm 0.0000 0.0000 0.0000 x2
Pm 0.0125 0.1105 0.5062 x4
Pm 0.0384 0.5000 0.3899 x2
Pm 0.0540 0.3885 0.8751 x4
Pm 0.2794 0.1975 0.1759 x4
Ni 0.2805 0.0000 0.8815 x2
Hg 0.2769 0.2816 0.6781 x4

No. 18
Pm4NiHg2 | PBE | relaxed

Output
E = -53.687 eV per cell
Mass density = 8.1 g cm⁻³
Energy of formation from the pure elements = -0.208 eV/atom
Total magnetic moment = 0.000 μB per atom
Offset from the most stable computed form = 0.37 eV/f.u.

Unit cell a=5.2518 b=5.2518 c=15.4558 alpha=90.00 beta=90.00 gamma=90.00
Space group I4/mmm (No. 139)
One atom of each set of equivalent atoms:
Pm 0.0000 0.0000 0.1822 x4
Pm 0.0000 0.5000 0.0000 x4
Ni 0.0000 0.0000 0.0000 x2
Hg 0.0000 0.0000 0.3769 x4

No. 19
PmNiHg2 | PBE | relaxed

Output
E = -35.299 eV per cell
Mass density = 11.1 g cm⁻³
Energy of formation from the pure elements = -0.158 eV/atom
Total magnetic moment = 0.000 μB per atom
Offset from the most stable computed form = 0.69 eV/f.u.

Unit cell a=4.5264 b=4.5264 c=15.3349 alpha=90.00 beta=90.00 gamma=120.00
Space group R-3m (No. 166, hexagonal axes)
One atom of each set of equivalent atoms:
Pm 0.0000 0.0000 0.0000 x3
Ni 0.0000 0.0000 0.5000 x3
Hg 0.0000 0.0000 0.2212 x6

No. 20
Pm12Ni6Hg | PBE | relaxed

Output
E = -194.765 eV per cell
Mass density = 7.7 g cm⁻³
Energy of formation from the pure elements = -0.283 eV/atom
Total magnetic moment = 0.000 μB per atom

Unit cell a=9.9509 b=9.9509 c=9.9509 alpha=90.00 beta=90.00 gamma=90.00
Space group Im-3 (No. 204)
One atom of each set of equivalent atoms:
Pm 0.0000 0.3047 0.1859 x24
Ni 0.0000 0.1222 0.5000 x12
Hg 0.0000 0.0000 0.0000 x2